# Nb2CrTe4S2 PBE relaxed
data_Nb2CrTe4S2
_cell_length_a 3.5393
_cell_length_b 3.5393
_cell_length_c 21.4396
_cell_angle_alpha 90.00
_cell_angle_beta 90.00
_cell_angle_gamma 120.00
_space_group_name_H-M_alt 'P 3 m 1'
_space_group_IT_number 156
_space_group_name_Hall 'P 3 -2"'
loop_
_atom_site_label
_atom_site_fract_x
_atom_site_fract_y
_atom_site_fract_z
Nb1 0.0000 0.0000 0.0000
Nb2 0.3333 0.6667 0.3596
Cr1 0.3333 0.6667 0.6965
Te1 0.0000 0.0000 0.2699
Te2 0.0000 0.0000 0.4492
Te3 0.3333 0.6667 0.0898
Te4 0.3333 0.6667 0.9107
S1 0.0000 0.0000 0.6337
S2 0.0000 0.0000 0.7601
# VASP energy in eV/atom: -6.0014
# D(E_F) in states/eV per cell: 11.65
# ΔE_f (raw) in eV/atom: -0.381